VASP calculation (PBE-GGA) on crystalline Nb2MoPtC at its relaxed geometry.

**Energy of formation from the pure elements**: -0.31 eV per atom
**Calculated total energy**: -9.556 eV per atom
**Mass density**: 10.73 g cm⁻³
**Crystal system**: tetragonal

Structure (CIF):
```
data_Nb2MoPtC
_chemical_formula_sum 'Nb2 Mo1 Pt1 C1'
_cell_length_a 4.2942
_cell_length_b 4.2942
_cell_length_c 4.1043
_cell_angle_alpha 90.00
_cell_angle_beta 90.00
_cell_angle_gamma 90.00
_symmetry_space_group_name_H-M 'P 4/m m m'
_symmetry_Int_Tables_number 123
_symmetry_space_group_name_Hall '-P 4 2'
loop_
_atom_site_label
_atom_site_type_symbol
_atom_site_fract_x
_atom_site_fract_y
_atom_site_fract_z
_atom_site_occupancy
Nb1 Nb 0.0000 0.5000 0.0000 1
Mo1 Mo 0.0000 0.0000 0.5000 1
Pt1 Pt 0.5000 0.5000 0.5000 1
C1 C 0.0000 0.0000 0.0000 1
```

---

VASP calculation (PBE-GGA) on crystalline HgGeSb2P at its relaxed geometry.

**Calculated total energy**: -3.174 eV per atom
**Mass density**: 6.68 g cm⁻³
**Energy relative to the elements, uncorrected**: 0.541 eV per atom
**Crystal system**: tetragonal

Structure (CIF):
```
data_HgGeSb2P
_chemical_formula_sum 'Hg1 Ge1 Sb2 P1'
_cell_length_a 5.2941
_cell_length_b 5.2941
_cell_length_c 4.8575
_cell_angle_alpha 90.00
_cell_angle_beta 90.00
_cell_angle_gamma 90.00
_symmetry_space_group_name_H-M 'P 4/m m m'
_symmetry_Int_Tables_number 123
_symmetry_space_group_name_Hall '-P 4 2'
loop_
_atom_site_label
_atom_site_type_symbol
_atom_site_fract_x
_atom_site_fract_y
_atom_site_fract_z
_atom_site_occupancy
Hg1 Hg 0.0000 0.0000 0.0000 1
Ge1 Ge 0.5000 0.5000 0.0000 1
Sb1 Sb 0.0000 0.5000 0.5000 1
P1 P 0.5000 0.5000 0.5000 1
```

---

VASP calculation (PBE-GGA) on crystalline FeW at its relaxed geometry.

**Energy of formation from the pure elements**: 0.18 eV per atom
**Calculated total energy**: -10.532 eV per atom
**Mass density**: 14.89 g cm⁻³
**Crystal system**: tetragonal

Structure (CIF):
```
data_FeW
_chemical_formula_sum 'Fe1 W1'
_cell_length_a 2.7099
_cell_length_b 2.7099
_cell_length_c 3.6401
_cell_angle_alpha 90.00
_cell_angle_beta 90.00
_cell_angle_gamma 90.00
_symmetry_space_group_name_H-M 'P 4/m m m'
_symmetry_Int_Tables_number 123
_symmetry_space_group_name_Hall '-P 4 2'
loop_
_atom_site_label
_atom_site_type_symbol
_atom_site_fract_x
_atom_site_fract_y
_atom_site_fract_z
_atom_site_occupancy
Fe1 Fe 0.0000 0.0000 0.0000 1
W1 W 0.5000 0.5000 0.5000 1
```

---

VASP calculation (PBE-GGA) on crystalline HoEr3Tl3 at its relaxed geometry.

**Energy of formation from the pure elements**: -0.20 eV per atom
**Calculated total energy**: -3.828 eV per atom
**Mass density**: 10.84 g cm⁻³
**Crystal system**: hexagonal

Structure (CIF):
```
data_HoEr3Tl3
_chemical_formula_sum 'Ho2 Er6 Tl6'
_cell_length_a 9.3155
_cell_length_b 9.3155
_cell_length_c 5.2162
_cell_angle_alpha 90.00
_cell_angle_beta 90.00
_cell_angle_gamma 120.00
_symmetry_space_group_name_H-M 'P 63/m'
_symmetry_Int_Tables_number 176
_symmetry_space_group_name_Hall '-P 6c'
loop_
_atom_site_label
_atom_site_type_symbol
_atom_site_fract_x
_atom_site_fract_y
_atom_site_fract_z
_atom_site_occupancy
Ho1 Ho 0.3333 0.6667 0.2500 1
Er1 Er 0.0039 0.7710 0.2500 1
Tl1 Tl 0.0735 0.6232 0.7500 1
```

---

VASP calculation (PBE-GGA) on crystalline MnAgSb2 at its relaxed geometry.

**Calculated total energy**: -4.748 eV per atom
**Mass density**: 7.58 g cm⁻³
**Energy relative to the elements, uncorrected**: 0.318 eV per atom
**Crystal system**: trigonal

Structure (CIF):
```
data_MnAgSb2
_chemical_formula_sum 'Mn3 Ag3 Sb6'
_cell_length_a 3.3190
_cell_length_b 3.3190
_cell_length_c 27.9951
_cell_angle_alpha 90.00
_cell_angle_beta 90.00
_cell_angle_gamma 120.00
_symmetry_space_group_name_H-M 'R 3 m'
_symmetry_Int_Tables_number 160
_symmetry_space_group_name_Hall 'R 3 -2"'
loop_
_atom_site_label
_atom_site_type_symbol
_atom_site_fract_x
_atom_site_fract_y
_atom_site_fract_z
_atom_site_occupancy
Mn1 Mn 0.0000 0.0000 0.0000 1
Ag1 Ag 0.0000 0.0000 0.2626 1
Sb1 Sb 0.0000 0.0000 0.5111 1
Sb2 Sb 0.0000 0.0000 0.7394 1
```

---

VASP calculation (PBE-GGA) on crystalline HfGa3P at its relaxed geometry.

**Energy of formation from the pure elements**: 0.50 eV per atom
**Calculated total energy**: -4.385 eV per atom
**Excess energy over the best structure of this formula in the dataset**: 0 kJ/mol of formula units
**Mass density**: 6.78 g cm⁻³
**Crystal system**: cubic

Structure (CIF):
```
data_HfGa3P
_chemical_formula_sum 'Hf1 Ga3 P1'
_cell_length_a 4.6805
_cell_length_b 4.6805
_cell_length_c 4.6805
_cell_angle_alpha 90.00
_cell_angle_beta 90.00
_cell_angle_gamma 90.00
_symmetry_space_group_name_H-M 'P m -3 m'
_symmetry_Int_Tables_number 221
_symmetry_space_group_name_Hall '-P 4 2 3'
loop_
_atom_site_label
_atom_site_type_symbol
_atom_site_fract_x
_atom_site_fract_y
_atom_site_fract_z
_atom_site_occupancy
Hf1 Hf 0.0000 0.0000 0.0000 1
Ga1 Ga 0.0000 0.5000 0.5000 1
P1 P 0.5000 0.5000 0.5000 1
```

---

VASP calculation (PBE-GGA) on crystalline CaP2Pd at its relaxed geometry.

**Energy of formation from the pure elements**: -0.69 eV per atom
**Calculated total energy**: -5.191 eV per atom
**Excess energy over the best structure of this formula in the dataset**: 0 kJ/mol of formula units
**Mass density**: 4.04 g cm⁻³
**Crystal system**: monoclinic

Structure (CIF):
```
data_CaP2Pd
_chemical_formula_sum 'Ca4 P8 Pd4'
_cell_length_a 6.0875
_cell_length_b 6.5545
_cell_length_c 8.6506
_cell_angle_alpha 90.00
_cell_angle_beta 96.98
_cell_angle_gamma 90.00
_symmetry_space_group_name_H-M 'C 1 c 1'
_symmetry_Int_Tables_number 9
_symmetry_space_group_name_Hall 'C -2yc'
loop_
_atom_site_label
_atom_site_type_symbol
_atom_site_fract_x
_atom_site_fract_y
_atom_site_fract_z
_atom_site_occupancy
Ca1 Ca 0.0000 0.1010 0.0000 1
P1 P 0.9997 0.3529 0.4768 1
P2 P 0.2896 0.2714 0.7729 1
Pd1 Pd 0.4538 0.0472 0.2352 1
```

---

VASP calculation (PBE-GGA) on crystalline KAc2C2N6 at its relaxed geometry.

**Calculated total energy**: -7.420 eV per atom
**Mass density**: 5.05 g cm⁻³
**Energy relative to the elements, uncorrected**: -0.355 eV per atom
**Crystal system**: triclinic

Structure (CIF):
```
data_KAc2C2N6
_chemical_formula_sum 'K1 Ac2 C2 N6'
_cell_length_a 5.8018
_cell_length_b 5.8657
_cell_length_c 6.8255
_cell_angle_alpha 113.93
_cell_angle_beta 100.42
_cell_angle_gamma 102.53
_symmetry_space_group_name_H-M 'P -1'
_symmetry_Int_Tables_number 2
_symmetry_space_group_name_Hall '-P 1'
loop_
_atom_site_label
_atom_site_type_symbol
_atom_site_fract_x
_atom_site_fract_y
_atom_site_fract_z
_atom_site_occupancy
K1 K 0.0000 0.0000 0.0000 1
Ac1 Ac 0.2680 0.3820 0.6666 1
C1 C 0.2437 0.7078 0.2744 1
N1 N 0.1673 0.9170 0.3624 1
N2 N 0.2304 0.5405 0.3656 1
N3 N 0.3321 0.6570 0.0981 1
```

---

VASP calculation (PBE-GGA) on crystalline YBeAu3 at its relaxed geometry.

**Energy of formation from the pure elements**: -0.24 eV per atom
**Calculated total energy**: -4.249 eV per atom
**Excess energy over the best structure of this formula in the dataset**: 155 kJ/mol of formula units
**Mass density**: 11.61 g cm⁻³
**Crystal system**: trigonal

Structure (CIF):
```
data_YBeAu3
_chemical_formula_sum 'Y6 Be6 Au18'
_cell_length_a 5.7794
_cell_length_b 5.7794
_cell_length_c 20.4289
_cell_angle_alpha 90.00
_cell_angle_beta 90.00
_cell_angle_gamma 120.00
_symmetry_space_group_name_H-M 'R -3'
_symmetry_Int_Tables_number 148
_symmetry_space_group_name_Hall '-R 3'
loop_
_atom_site_label
_atom_site_type_symbol
_atom_site_fract_x
_atom_site_fract_y
_atom_site_fract_z
_atom_site_occupancy
Y1 Y 0.0000 0.0000 0.1637 1
Be1 Be 0.0000 0.0000 0.4447 1
Au1 Au 0.0102 0.6524 0.3885 1
```

---

VASP calculation (PBE-GGA) on crystalline Ca3AgPb at its relaxed geometry.

**Energy of formation from the pure elements**: -0.38 eV per atom
**Calculated total energy**: -2.893 eV per atom
**Excess energy over the best structure of this formula in the dataset**: 0 kJ/mol of formula units
**Mass density**: 4.72 g cm⁻³
**Crystal system**: orthorhombic

Structure (CIF):
```
data_Ca3AgPb
_chemical_formula_sum 'Ca12 Ag4 Pb4'
_cell_length_a 5.4837
_cell_length_b 20.3443
_cell_length_c 5.4888
_cell_angle_alpha 90.00
_cell_angle_beta 90.00
_cell_angle_gamma 90.00
_symmetry_space_group_name_H-M 'C m c m'
_symmetry_Int_Tables_number 63
_symmetry_space_group_name_Hall '-C 2c 2'
loop_
_atom_site_label
_atom_site_type_symbol
_atom_site_fract_x
_atom_site_fract_y
_atom_site_fract_z
_atom_site_occupancy
Ca1 Ca 0.0000 0.0714 0.2500 1
Ca2 Ca 0.0000 0.2503 0.2500 1
Ca3 Ca 0.0000 0.4288 0.2500 1
Ag1 Ag 0.0000 0.1541 0.7500 1
Pb1 Pb 0.0000 0.3423 0.7500 1
```

---

The calculation returns the following DOS at the Fermi energy values, one per record and in order: 3.597, 4.165, 2.374, 5.870, 2.631, 3.270, 0.012, 4.004, 1.765, 2.417 states/eV/f.u..